# LiEuTm2 | Alexandria via LeMat-Bulk | PBE | optimized geometry
data_LiEuTm2
_space_group_name_H-M_alt 'P 1'
_space_group_IT_number 1
_cell_length_a 3.6443
_cell_length_b 3.6443
_cell_length_c 8.8793
_cell_angle_alpha 90.00
_cell_angle_beta 90.00
_cell_angle_gamma 90.00
loop_
_space_group_symop_operation_xyz
'x,y,z'
loop_
_atom_site_label
_atom_site_type_symbol
_atom_site_fract_x
_atom_site_fract_y
_atom_site_fract_z
Li1 Li 0.0000 0.0000 0.0000
Eu1 Eu 0.0000 0.0000 0.5000
Tm1 Tm 0.5000 0.5000 0.2029
Tm2 Tm 0.5000 0.5000 0.7971
# energy relative to the lowest polymorph listed for this composition: 0 meV/atom
# magnetization: 7.9 μB per cell
# electronic total energy: -5.1363 eV/atom
# E_form: 0.15 eV per atom

=====

# Pa2TlP2N6 | Alexandria via LeMat-Bulk | PBE | optimized geometry
data_Pa2TlP2N6
_space_group_name_H-M_alt 'P 1'
_space_group_IT_number 1
_cell_length_a 5.9980
_cell_length_b 6.4360
_cell_length_c 6.4539
_cell_angle_alpha 119.77
_cell_angle_beta 116.15
_cell_angle_gamma 90.03
loop_
_space_group_symop_operation_xyz
'x,y,z'
loop_
_atom_site_label
_atom_site_type_symbol
_atom_site_fract_x
_atom_site_fract_y
_atom_site_fract_z
Pa1 Pa 0.1911 0.3200 0.1401
Pa2 Pa 0.8089 0.6800 0.8599
Tl1 Tl 0.5000 0.0000 0.5000
P1 P 0.3232 0.6902 0.8790
P2 P 0.6768 0.3098 0.1210
N1 N 0.1752 0.9141 0.9242
N2 N 0.1761 0.5119 0.9257
N3 N 0.3394 0.5496 0.5975
N4 N 0.6606 0.4504 0.4025
N5 N 0.8239 0.4881 0.0743
N6 N 0.8248 0.0859 0.0758
# magnetization: 0.0 μB per cell
# electronic total energy: -8.1987 eV/atom
# E_form (uncorrected): -0.7323 eV per atom